# CaPbAu3 PBE-GGA optimized geometry
# * density: 11.69 g/cm3
# * uncorrected energy: -17.76 eV/f.u.
# * ΔE to the lowest computed polymorph: 0.000 eV per atom
# * spin magnetization: 0.00 μB/atom
data_CaPbAu3
_cell_length_a 3.6319
_cell_length_b 28.4695
_cell_length_c 4.6059
_cell_angle_alpha 90.00
_cell_angle_beta 90.00
_cell_angle_gamma 90.00
_symmetry_space_group_name_H-M 'C m c m'
_symmetry_Int_Tables_number 63
_symmetry_space_group_name_Hall '-C 2c 2'
loop_
_atom_site_label
_atom_site_type_symbol
_atom_site_fract_x
_atom_site_fract_y
_atom_site_fract_z
Ca1 Ca 0.0000 0.0737 0.2500
Pb1 Pb 0.0000 0.2106 0.7500
Au1 Au 0.0000 0.3212 0.7500
Au2 Au 0.0000 0.3789 0.2500
Au3 Au 0.0000 0.4743 0.2500

# Ca2PbAu2 PBE-GGA optimized geometry
# * density: 8.84 g/cm3
# * uncorrected energy: -17.79 eV/f.u.
# * spin magnetization: 0.00 μB/atom
data_Ca2PbAu2
_cell_length_a 8.1004
_cell_length_b 8.1004
_cell_length_c 3.9012
_cell_angle_alpha 90.00
_cell_angle_beta 90.00
_cell_angle_gamma 90.00
_symmetry_space_group_name_H-M 'P 4/m b m'
_symmetry_Int_Tables_number 127
_symmetry_space_group_name_Hall '-P 4 2ab'
loop_
_atom_site_label
_atom_site_type_symbol
_atom_site_fract_x
_atom_site_fract_y
_atom_site_fract_z
Ca1 Ca 0.1728 0.3272 0.0000
Pb1 Pb 0.0000 0.0000 0.5000
Au1 Au 0.1242 0.6242 0.5000

# Ca6Pb5Au PBE-GGA optimized geometry
# * density: 6.96 g/cm3
# * uncorrected energy: -40.57 eV/f.u.
# * spin magnetization: 0.00 μB/atom
data_Ca6Pb5Au
_cell_length_a 5.5671
_cell_length_b 16.5931
_cell_length_c 7.6132
_cell_angle_alpha 90.00
_cell_angle_beta 90.00
_cell_angle_gamma 90.00
_symmetry_space_group_name_H-M 'C m m m'
_symmetry_Int_Tables_number 65
_symmetry_space_group_name_Hall '-C 2 2'
loop_
_atom_site_label
_atom_site_type_symbol
_atom_site_fract_x
_atom_site_fract_y
_atom_site_fract_z
Ca1 Ca 0.0000 0.0000 0.2365
Ca2 Ca 0.0000 0.3400 0.2402
Pb1 Pb 0.0000 0.1663 0.0000
Pb2 Pb 0.0000 0.1679 0.5000
Pb3 Pb 0.0000 0.5000 0.5000
Au1 Au 0.0000 0.5000 0.0000